Li2OsPt SCAN PBEsol geometry; space group = P4/mmm (123); N(E_F) = 2.08 states/eV per cell; ΔE to the lowest computed polymorph = 11 meV per atom; formation energy from the elements = -0.1050 eV/atom
1.0
2.562 0.000 0.000
0.000 2.562 0.000
0.000 0.000 8.283
Li Os Pt
2 1 1
direct
0.000 0.000 0.240 Li
0.000 0.000 0.760 Li
0.500 0.500 0.500 Os
0.500 0.500 0.000 Pt